(1)
# Sr2Zn2Ga, relaxed, DFT PBE-GGA
# **ΔH_f (0 K)**: -0.093 eV per atom
# **Size of the total moment**: 0.0 Bohr magnetons per cell
# **Calculated volume**: 29.49 Å³ per atom
data_Sr2Zn2Ga
_chemical_formula_sum 'Sr4 Zn4 Ga2'
_symmetry_space_group_name_H-M 'I 4/m m m'
_symmetry_Int_Tables_number 139
_symmetry_space_group_name_Hall '-I 4 2'
_cell_length_a 6.187
_cell_length_b 6.187
_cell_length_c 7.704
_cell_angle_alpha 90.00
_cell_angle_beta 90.00
_cell_angle_gamma 90.00
loop_
_atom_site_label
_atom_site_type_symbol
_atom_site_fract_x
_atom_site_fract_y
_atom_site_fract_z
Sr1 Sr 0.000 0.500 0.250
Zn1 Zn 0.000 0.000 0.157
Ga1 Ga 0.000 0.000 0.500

(2)
# Sr5Zn2Ga5, relaxed, DFT PBE-GGA
# **ΔH_f (0 K)**: -0.311 eV per atom
# **Size of the total moment**: 0.0 Bohr magnetons per cell
# **Calculated volume**: 28.78 Å³ per atom
data_Sr5Zn2Ga5
_chemical_formula_sum 'Sr10 Zn4 Ga10'
_symmetry_space_group_name_H-M 'C 1 2/m 1'
_symmetry_Int_Tables_number 12
_symmetry_space_group_name_Hall '-C 2y'
_cell_length_a 16.300
_cell_length_b 4.374
_cell_length_c 12.276
_cell_angle_alpha 90.00
_cell_angle_beta 127.88
_cell_angle_gamma 90.00
loop_
_atom_site_label
_atom_site_type_symbol
_atom_site_fract_x
_atom_site_fract_y
_atom_site_fract_z
Sr1 Sr 0.000 0.000 0.000
Sr2 Sr 0.132 0.500 0.831
Sr3 Sr 0.194 0.500 0.586
Zn1 Zn 0.105 0.500 0.261
Ga1 Ga 0.000 0.000 0.500
Ga2 Ga 0.061 0.000 0.334
Ga3 Ga 0.201 0.500 0.151

(3)
# SrZnGa2, relaxed, DFT PBE-GGA
# **ΔH_f (0 K)**: -0.328 eV per atom
# **Size of the total moment**: 0.0 Bohr magnetons per cell
# **Calculated volume**: 23.63 Å³ per atom
data_SrZnGa2
_chemical_formula_sum 'Sr3 Zn3 Ga6'
_symmetry_space_group_name_H-M 'R -3 m'
_symmetry_Int_Tables_number 166
_symmetry_space_group_name_Hall '-R 3 2"'
_cell_length_a 4.3305
_cell_length_b 4.3305
_cell_length_c 17.4631
_cell_angle_alpha 90.00
_cell_angle_beta 90.00
_cell_angle_gamma 120.00
loop_
_atom_site_label
_atom_site_type_symbol
_atom_site_fract_x
_atom_site_fract_y
_atom_site_fract_z
Sr1 Sr 0.0000 0.0000 0.0000
Zn1 Zn 0.0000 0.0000 0.5000
Ga1 Ga 0.0000 0.0000 0.2133